(1)
Here is crystalline Li2Fe2TeO6 at its relaxed geometry from Alexandria via LeMat-Bulk. Energies are from PBE+U.

Computed properties:
- magnetic moment (μB/cell) = 8.0
- calculated volume (Å³ per cell) = 123
- space-group type = C2/m (12)
- energy (eV per formula unit) = -64.553
- crystal system = monoclinic

Lattice parameters (Å, degrees): 5.2405 5.2405 5.4583 105.06 105.06 111.82
Fractional coordinates of all 11 atoms:
Li (0.1552, 0.8448, 0.0000)
Li (0.8448, 0.1552, 0.0000)
Fe (0.3139, 0.6861, 0.5000)
Fe (0.6861, 0.3139, 0.5000)
Te (0.5000, 0.5000, 0.0000)
O (0.1327, 0.4613, 0.7480)
O (0.2911, 0.2911, 0.1975)
O (0.4613, 0.1327, 0.7480)
O (0.5387, 0.8673, 0.2520)
O (0.7089, 0.7089, 0.8025)
O (0.8673, 0.5387, 0.2520)

=====

(2)
Here is crystalline LiFe2TeO6 at its relaxed geometry from Alexandria via LeMat-Bulk. Energies are from PBE+U.

Computed properties:
- magnetic moment (μB/cell) = 9.0
- calculated volume (Å³ per cell) = 114
- space-group type = P1 (1)
- energy (eV per formula unit) = -60.297
- crystal system = triclinic

Lattice parameters (Å, degrees): 5.2047 5.2147 5.6384 91.46 115.73 119.54
Fractional coordinates of all 10 atoms:
Li (0.0000, 0.0000, 0.0000)
Fe (0.4418, 0.2112, 0.6551)
Fe (0.4742, 0.7264, 0.1982)
Te (0.0650, 0.5236, 0.5913)
O (0.2370, 0.7875, 0.3858)
O (0.2495, 0.9159, 0.8455)
O (0.5179, 0.5939, 0.8501)
O (0.6001, 0.4219, 0.3862)
O (0.9235, 0.3182, 0.8412)
O (0.9746, 0.1549, 0.3847)

=====

(3)
Here is crystalline LiFeTe2O6 at its relaxed geometry from Alexandria via LeMat-Bulk. Energies are from PBE+U.

Computed properties:
- magnetic moment (μB/cell) = 5.9
- calculated volume (Å³ per cell) = 253
- space-group type = C2/c (15)
- energy (eV per formula unit) = -55.036
- crystal system = monoclinic

Lattice parameters (Å, degrees): 7.1066 7.1066 5.2104 97.59 97.59 100.32
Fractional coordinates of all 20 atoms:
Li (0.1977, 0.8023, 0.7500)
Li (0.8023, 0.1977, 0.2500)
Fe (0.0792, 0.9208, 0.2500)
Fe (0.9208, 0.0792, 0.7500)
Te (0.2134, 0.4571, 0.3274)
Te (0.4571, 0.2134, 0.8274)
Te (0.5429, 0.7866, 0.1726)
Te (0.7866, 0.5429, 0.6726)
O (0.0508, 0.1968, 0.1106)
O (0.0631, 0.6555, 0.3811)
O (0.1968, 0.0508, 0.6106)
O (0.2974, 0.5324, 0.0101)
O (0.3445, 0.9369, 0.1189)
O (0.4676, 0.7026, 0.4899)
O (0.5324, 0.2974, 0.5101)
O (0.6555, 0.0631, 0.8811)
O (0.7026, 0.4676, 0.9899)
O (0.8032, 0.9492, 0.3894)
O (0.9369, 0.3445, 0.6189)
O (0.9492, 0.8032, 0.8894)

=====

(4)
Here is crystalline Li4Ti3Fe3Te2O16 at its relaxed geometry from Alexandria via LeMat-Bulk. Energies are from PBE+U.

Computed properties:
- magnetic moment (μB/cell) = 14.0
- calculated volume (Å³ per cell) = 326
- space-group type = P1 (1)
- energy (eV per formula unit) = -190.297
- crystal system = triclinic

Lattice parameters (Å, degrees): 5.9634 6.0753 10.2839 90.01 90.15 119.08
Fractional coordinates of all 28 atoms:
Li (0.0000, 0.0000, 0.0000)
Li (0.0032, 0.9963, 0.5092)
Li (0.3314, 0.6685, 0.4080)
Li (0.6597, 0.3196, 0.9198)
Ti (0.1842, 0.3499, 0.7464)
Ti (0.3390, 0.1815, 0.2326)
Ti (0.8330, 0.1772, 0.2335)
Fe (0.1675, 0.8197, 0.7319)
Fe (0.6613, 0.8282, 0.7306)
Fe (0.8279, 0.6603, 0.2244)
Te (0.3411, 0.6880, 0.0094)
Te (0.6738, 0.3333, 0.5247)
O (0.0104, 0.0083, 0.8164)
O (0.0185, 0.4964, 0.8430)
O (0.1342, 0.2779, 0.1237)
O (0.1588, 0.8426, 0.1100)
O (0.3211, 0.6427, 0.6280)
O (0.3386, 0.1573, 0.6228)
O (0.4633, 0.9522, 0.8721)
O (0.4695, 0.4862, 0.8514)
O (0.4939, 0.4798, 0.3257)
O (0.5092, 0.0220, 0.3317)
O (0.6571, 0.3186, 0.1233)
O (0.6797, 0.8458, 0.1071)
O (0.8463, 0.1714, 0.6094)
O (0.8519, 0.6684, 0.6101)
O (0.9745, 0.4749, 0.3311)
O (0.9933, 0.9898, 0.3239)

=====

(5)
Here is crystalline Li4FeTeW2O12 at its relaxed geometry from Alexandria via LeMat-Bulk. Energies are from PBE+U.

Computed properties:
- offset from the most stable computed form (meV per atom) = 16
- magnetic moment (μB/cell) = 5.0
- calculated volume (Å³ per cell) = 215
- space-group type = P1 (1)
- crystal system = triclinic

Lattice parameters (Å, degrees): 5.1903 5.4854 7.5623 85.70 89.89 89.93
Fractional coordinates of all 20 atoms:
Li (0.0000, 0.0000, 0.0000)
Li (0.0085, 0.0041, 0.5353)
Li (0.4990, 0.3506, 0.9374)
Li (0.5106, 0.4652, 0.5317)
Fe (0.0032, 0.4228, 0.7312)
Te (0.5082, 0.9129, 0.2367)
W (0.0108, 0.4180, 0.2308)
W (0.4999, 0.9063, 0.7340)
O (0.1223, 0.3901, 0.9887)
O (0.1821, 0.0901, 0.2930)
O (0.2045, 0.7229, 0.6642)
O (0.3112, 0.2059, 0.6710)
O (0.3244, 0.5779, 0.2972)
O (0.3738, 0.9145, 0.9779)
O (0.6402, 0.9007, 0.4843)
O (0.6783, 0.5988, 0.7815)
O (0.7014, 0.2199, 0.1553)
O (0.8002, 0.0953, 0.7838)
O (0.8387, 0.7224, 0.1630)
O (0.8834, 0.3962, 0.4671)

=====

(6)
Here is crystalline Li4FeTeW2O12 at its relaxed geometry from Alexandria via LeMat-Bulk. Energies are from PBE+U.

Computed properties:
- offset from the most stable computed form (meV per atom) = 0
- magnetic moment (μB/cell) = 0.0
- calculated volume (Å³ per cell) = 431
- space-group type = P1 (1)
- crystal system = triclinic

Lattice parameters (Å, degrees): 5.4907 9.1748 9.1915 69.03 86.35 86.43
Fractional coordinates of all 40 atoms:
Li (0.0000, 0.0000, 0.0000)
Li (0.0015, 0.2170, 0.2311)
Li (0.0047, 0.7394, 0.7288)
Li (0.0121, 0.4865, 0.5035)
Li (0.3509, 0.9457, 0.4533)
Li (0.3628, 0.4533, 0.9450)
Li (0.4585, 0.7391, 0.2557)
Li (0.4755, 0.2430, 0.7482)
Fe (0.4252, 0.0967, 0.0951)
Fe (0.4255, 0.5925, 0.5983)
Te (0.9091, 0.0940, 0.6023)
Te (0.9330, 0.5963, 0.1042)
W (0.4194, 0.8446, 0.8543)
W (0.4282, 0.3340, 0.3492)
W (0.9089, 0.8445, 0.3498)
W (0.9119, 0.3530, 0.8433)
O (0.0885, 0.7916, 0.9646)
O (0.0907, 0.2750, 0.4781)
O (0.0965, 0.2213, 0.0174)
O (0.1010, 0.7256, 0.5241)
O (0.1999, 0.9583, 0.6584)
O (0.2038, 0.9143, 0.2229)
O (0.2132, 0.4080, 0.7172)
O (0.2410, 0.4583, 0.1577)
O (0.3745, 0.1584, 0.2878)
O (0.3951, 0.0307, 0.8997)
O (0.3979, 0.5130, 0.4087)
O (0.4013, 0.6703, 0.7831)
O (0.5624, 0.7325, 0.0392)
O (0.5893, 0.2055, 0.5469)
O (0.5994, 0.7784, 0.4585)
O (0.6059, 0.2825, 0.9587)
O (0.7197, 0.9050, 0.7201)
O (0.7247, 0.4575, 0.6610)
O (0.7265, 0.3669, 0.2456)
O (0.7255, 0.9640, 0.1689)
O (0.8971, 0.1499, 0.7852)
O (0.9045, 0.0314, 0.4178)
O (0.9187, 0.6538, 0.2976)
O (0.9276, 0.5344, 0.8921)

=====

(7)
Here is crystalline Li3Ti2Fe3O10 at its relaxed geometry from Alexandria via LeMat-Bulk. Energies are from PBE+U.

Computed properties:
- magnetic moment (μB/cell) = 9.0
- calculated volume (Å³ per cell) = 189
- space-group type = P-1 (2)
- energy (eV per formula unit) = -124.823
- crystal system = triclinic

Lattice parameters (Å, degrees): 5.0995 5.1965 7.8301 74.11 73.92 76.40
Fractional coordinates of all 18 atoms:
Li (0.0000, 0.0000, 0.0000)
Li (0.4648, 0.6923, 0.1241)
Li (0.5352, 0.3077, 0.8759)
Ti (0.0113, 0.3786, 0.1898)
Ti (0.9887, 0.6214, 0.8102)
Fe (0.0475, 0.1915, 0.5956)
Fe (0.5000, 0.5000, 0.5000)
Fe (0.9525, 0.8085, 0.4044)
O (0.1789, 0.0268, 0.1773)
O (0.2147, 0.5999, 0.9817)
O (0.2174, 0.8129, 0.5609)
O (0.2311, 0.4522, 0.3589)
O (0.2734, 0.3059, 0.7196)
O (0.7266, 0.6941, 0.2804)
O (0.7689, 0.5478, 0.6411)
O (0.7826, 0.1871, 0.4391)
O (0.7853, 0.4001, 0.0183)
O (0.8211, 0.9732, 0.8227)

=====

(8)
Here is crystalline LiTiFe5O8 at its relaxed geometry from Alexandria via LeMat-Bulk. Energies are from PBE+U.

Computed properties:
- offset from the most stable computed form (meV per atom) = 7
- magnetic moment (μB/cell) = 21.0
- calculated volume (Å³ per cell) = 170
- space-group type = Cm (8)
- crystal system = monoclinic

Lattice parameters (Å, degrees): 6.2213 6.2213 6.1723 119.18 119.18 59.48
Fractional coordinates of all 15 atoms:
Li (0.0000, 0.0000, 0.0000)
Ti (0.2027, 0.2027, 0.4688)
Fe (0.1386, 0.6733, 0.3957)
Fe (0.1780, 0.1780, 0.9052)
Fe (0.5454, 0.5454, 0.0678)
Fe (0.6733, 0.1386, 0.3957)
Fe (0.7478, 0.7478, 0.7370)
O (0.3666, 0.9351, 0.6186)
O (0.3782, 0.9332, 0.1756)
O (0.4103, 0.4103, 0.1789)
O (0.4117, 0.4117, 0.6800)
O (0.8902, 0.8902, 0.1362)
O (0.9177, 0.9177, 0.6460)
O (0.9332, 0.3782, 0.1756)
O (0.9351, 0.3666, 0.6186)

=====

(9)
Here is crystalline Li6TiFe5O12 at its relaxed geometry from Alexandria via LeMat-Bulk. Energies are from PBE+U.

Computed properties:
- magnetic moment (μB/cell) = 12.0
- calculated volume (Å³ per cell) = 221
- space-group type = C2 (5)
- energy (eV per formula unit) = -147.519
- crystal system = monoclinic

Lattice parameters (Å, degrees): 5.0920 5.0920 10.0891 95.28 95.28 120.72
Fractional coordinates of all 24 atoms:
Li (0.0687, 0.0687, 0.2538)
Li (0.2482, 0.5954, 0.7457)
Li (0.4046, 0.7518, 0.2543)
Li (0.5943, 0.2617, 0.7484)
Li (0.7383, 0.4057, 0.2516)
Li (0.9313, 0.9313, 0.7462)
Ti (0.4971, 0.5029, 0.5000)
Fe (0.0025, 0.9975, 0.0000)
Fe (0.1647, 0.8353, 0.5000)
Fe (0.3318, 0.6682, 0.0000)
Fe (0.6668, 0.3332, 0.0000)
Fe (0.8313, 0.1687, 0.5000)
O (0.0268, 0.6931, 0.1155)
O (0.1391, 0.4666, 0.3853)
O (0.2221, 0.2178, 0.6145)
O (0.3069, 0.9732, 0.8845)
O (0.3684, 0.3558, 0.1086)
O (0.4480, 0.1332, 0.3866)
O (0.5334, 0.8609, 0.6147)
O (0.6442, 0.6316, 0.8914)
O (0.6897, 0.0346, 0.1101)
O (0.7822, 0.7779, 0.3855)
O (0.8668, 0.5520, 0.6134)
O (0.9654, 0.3103, 0.8899)

=====

(10)
Here is crystalline Li4Ti3Fe3O12 at its relaxed geometry from Alexandria via LeMat-Bulk. Energies are from PBE+U.

Computed properties:
- magnetic moment (μB/cell) = 14.0
- calculated volume (Å³ per cell) = 230
- space-group type = P-1 (2)
- energy (eV per formula unit) = -157.406
- crystal system = triclinic

Lattice parameters (Å, degrees): 6.0078 6.0455 6.6837 103.05 102.71 90.92
Fractional coordinates of all 22 atoms:
Li (0.0000, 0.0000, 0.0000)
Li (0.1796, 0.6746, 0.6699)
Li (0.5000, 0.0000, 0.0000)
Li (0.8204, 0.3254, 0.3301)
Ti (0.1671, 0.1836, 0.6514)
Ti (0.5000, 0.5000, 0.0000)
Ti (0.8329, 0.8164, 0.3486)
Fe (0.0000, 0.5000, 0.0000)
Fe (0.3329, 0.8274, 0.3364)
Fe (0.6671, 0.1726, 0.6636)
O (0.0722, 0.6147, 0.3443)
O (0.0743, 0.0581, 0.3411)
O (0.2507, 0.2624, 0.9694)
O (0.2744, 0.7389, 0.0130)
O (0.4003, 0.9488, 0.6514)
O (0.4153, 0.4081, 0.6884)
O (0.5847, 0.5919, 0.3116)
O (0.5997, 0.0512, 0.3486)
O (0.7256, 0.2611, 0.9870)
O (0.7493, 0.7376, 0.0306)
O (0.9257, 0.9419, 0.6589)
O (0.9278, 0.3853, 0.6557)

=====

(11)
Here is crystalline Li2Ti2FeO6 at its relaxed geometry from Alexandria via LeMat-Bulk. Energies are from PBE+U.

Computed properties:
- magnetic moment (μB/cell) = 8.0
- calculated volume (Å³ per cell) = 243
- space-group type = Cmce (64)
- energy (eV per formula unit) = -81.787
- crystal system = orthorhombic

Lattice parameters (Å, degrees): 5.2172 5.2172 10.4038 90.00 90.00 59.28
Fractional coordinates of all 22 atoms:
Li (0.1719, 0.3281, 0.2500)
Li (0.3281, 0.1719, 0.7500)
Li (0.6719, 0.8281, 0.2500)
Li (0.8281, 0.6719, 0.7500)
Ti (0.1603, 0.1603, 0.0000)
Ti (0.3397, 0.3397, 0.5000)
Ti (0.6603, 0.6603, 0.5000)
Ti (0.8397, 0.8397, 0.0000)
Fe (0.0000, 0.0000, 0.5000)
Fe (0.5000, 0.5000, 0.0000)
O (0.0026, 0.3654, 0.6072)
O (0.1346, 0.4974, 0.8928)
O (0.1432, 0.8568, 0.0999)
O (0.3568, 0.6432, 0.5999)
O (0.3654, 0.0026, 0.3928)
O (0.4974, 0.1346, 0.1072)
O (0.5026, 0.8654, 0.8928)
O (0.6346, 0.9974, 0.6072)
O (0.6432, 0.3568, 0.4001)
O (0.8568, 0.1432, 0.9001)
O (0.8654, 0.5026, 0.1072)
O (0.9974, 0.6346, 0.3928)

=====

(12)
Here is crystalline LiTiFe5O8 at its relaxed geometry from Alexandria via LeMat-Bulk. Energies are from PBE+U.

Computed properties:
- offset from the most stable computed form (meV per atom) = 0
- magnetic moment (μB/cell) = 21.0
- calculated volume (Å³ per cell) = 163
- space-group type = P-1 (2)
- crystal system = triclinic

Lattice parameters (Å, degrees): 5.9188 5.9925 6.0750 61.12 69.19 61.18
Fractional coordinates of all 15 atoms:
Li (0.0000, 0.0000, 0.0000)
Ti (0.0000, 0.5000, 0.0000)
Fe (0.0000, 0.0000, 0.5000)
Fe (0.0000, 0.5000, 0.5000)
Fe (0.4678, 0.8025, 0.9494)
Fe (0.5000, 0.5000, 0.5000)
Fe (0.5322, 0.1975, 0.0506)
O (0.1962, 0.2606, 0.2902)
O (0.2268, 0.7483, 0.2826)
O (0.2526, 0.6916, 0.8338)
O (0.2592, 0.2263, 0.8346)
O (0.7408, 0.7737, 0.1654)
O (0.7474, 0.3084, 0.1662)
O (0.7732, 0.2517, 0.7174)
O (0.8038, 0.7394, 0.7098)

=====

(13)
Here is crystalline Li2TiFe3O8 at its relaxed geometry from Alexandria via LeMat-Bulk. Energies are from PBE+U.

Computed properties:
- offset from the most stable computed form (meV per atom) = 103
- magnetic moment (μB/cell) = 16.0
- calculated volume (Å³ per cell) = 283
- space-group type = P6_3mc (186)
- crystal system = hexagonal

Lattice parameters (Å, degrees): 5.8535 5.8535 9.5507 90.00 90.00 120.00
Fractional coordinates of all 28 atoms:
Li (0.0000, 0.0000, 0.0000)
Li (0.0000, 0.0000, 0.5000)
Li (0.3333, 0.6667, 0.4063)
Li (0.6667, 0.3333, 0.9063)
Ti (0.3333, 0.6667, 0.0003)
Ti (0.6667, 0.3333, 0.5003)
Fe (0.1692, 0.3384, 0.7203)
Fe (0.1692, 0.8308, 0.7203)
Fe (0.3384, 0.1692, 0.2203)
Fe (0.6616, 0.8308, 0.7203)
Fe (0.8308, 0.1692, 0.2203)
Fe (0.8308, 0.6616, 0.2203)
O (0.0000, 0.0000, 0.3120)
O (0.0000, 0.0000, 0.8120)
O (0.0362, 0.5181, 0.8487)
O (0.1674, 0.3349, 0.0990)
O (0.1674, 0.8326, 0.0990)
O (0.3333, 0.6667, 0.6199)
O (0.3349, 0.1674, 0.5990)
O (0.4819, 0.5181, 0.8487)
O (0.4819, 0.9638, 0.8487)
O (0.5181, 0.0362, 0.3487)
O (0.5181, 0.4819, 0.3487)
O (0.6651, 0.8326, 0.0990)
O (0.6667, 0.3333, 0.1199)
O (0.8326, 0.1674, 0.5990)
O (0.8326, 0.6651, 0.5990)
O (0.9638, 0.4819, 0.3487)

=====

(14)
Here is crystalline Li3TiFe3O8 at its relaxed geometry from Alexandria via LeMat-Bulk. Energies are from PBE+U.

Computed properties:
- offset from the most stable computed form (meV per atom) = 0
- magnetic moment (μB/cell) = 30.0
- calculated volume (Å³ per cell) = 291
- space-group type = P6_3mc (186)
- crystal system = hexagonal

Lattice parameters (Å, degrees): 5.9109 5.9109 9.6104 90.00 90.00 120.00
Fractional coordinates of all 30 atoms:
Li (0.1762, 0.3524, 0.0000)
Li (0.1762, 0.8238, 0.0000)
Li (0.3524, 0.1762, 0.5000)
Li (0.6476, 0.8238, 0.0000)
Li (0.8238, 0.1762, 0.5000)
Li (0.8238, 0.6476, 0.5000)
Ti (0.3333, 0.6667, 0.4449)
Ti (0.6667, 0.3333, 0.9449)
Fe (0.1694, 0.3387, 0.7268)
Fe (0.1694, 0.8306, 0.7268)
Fe (0.3387, 0.1694, 0.2268)
Fe (0.6613, 0.8306, 0.7268)
Fe (0.8306, 0.1694, 0.2268)
Fe (0.8306, 0.6613, 0.2268)
O (0.0000, 0.0000, 0.1202)
O (0.0000, 0.0000, 0.6202)
O (0.0358, 0.5179, 0.5962)
O (0.1672, 0.3345, 0.3516)
O (0.1672, 0.8328, 0.3516)
O (0.3333, 0.6667, 0.8457)
O (0.3345, 0.1672, 0.8516)
O (0.4821, 0.5179, 0.5962)
O (0.4821, 0.9642, 0.5962)
O (0.5179, 0.0358, 0.0962)
O (0.5179, 0.4821, 0.0962)
O (0.6655, 0.8328, 0.3516)
O (0.6667, 0.3333, 0.3457)
O (0.8328, 0.1672, 0.8516)
O (0.8328, 0.6655, 0.8516)
O (0.9642, 0.4821, 0.0962)